(1)
# TaBeTlRe2

TaBeTlRe2 after structural relaxation (PBE, the Alexandria database).

Lattice parameters (Å, degrees): 4.8691 4.8691 4.4913 90.00 90.00 90.00
Last column: nearest neighbours and their distance in Å.
Fractional positions:
Ta: 0.0000 0.0000 0.0000  2 Be 2.25, 4 Re 2.43
Be: 0.0000 0.0000 0.5000  2 Ta 2.25
Tl: 0.5000 0.5000 0.5000  8 Re 3.31, 4 Be 3.44
Re: 0.0000 0.5000 0.0000  2 Ta 2.43
Re: 0.5000 0.0000 0.0000  2 Ta 2.43

## Properties
Fermi-level density of states, states/eV/f.u.: 5.0
Formation energy, eV/atom: 1.967

(2)
# Ho2PuRu2

Ho2PuRu2 after structural relaxation (PBE, the Alexandria database).

Lattice parameters (Å, degrees): 8.4641 8.2590 6.2345 90.00 90.00 90.00
Last column: nearest neighbours and their distance in Å.
Fractional positions:
Ho: 0.1252 0.2500 0.0000  5 Ru 2.89-2.97, 2 Ho 3.12
Ho: 0.1252 0.2500 0.5000  5 Ru 2.89-2.97, 2 Ho 3.12
Ho: 0.2199 0.6296 0.2500  4 Ru 2.93-3.17
Ho: 0.2199 0.8704 0.7500  4 Ru 2.93-3.17
Ho: 0.7801 0.1296 0.2500  4 Ru 2.93-3.17
Ho: 0.7801 0.3704 0.7500  4 Ru 2.93-3.17
Ho: 0.8748 0.7500 0.0000  5 Ru 2.89-2.97, 2 Ho 3.12
Ho: 0.8748 0.7500 0.5000  5 Ru 2.89-2.97, 2 Ho 3.12
Pu: 0.3949 0.5093 0.7500  5 Ru 2.67-2.75
Pu: 0.3949 0.9907 0.2500  5 Ru 2.67-2.75
Pu: 0.6051 0.0093 0.7500  5 Ru 2.67-2.75
Pu: 0.6051 0.4907 0.2500  5 Ru 2.67-2.75
Ru: 0.0817 0.5446 0.7500  1 Pu 2.67, 6 Ho 2.89-2.93
Ru: 0.0817 0.9554 0.2500  1 Pu 2.67, 6 Ho 2.89-2.93
Ru: 0.4755 0.2500 0.0000  4 Pu 2.74-2.75, 1 Ho 2.97
Ru: 0.4755 0.2500 0.5000  4 Pu 2.74-2.75, 1 Ho 2.97
Ru: 0.5245 0.7500 0.0000  4 Pu 2.74-2.75, 1 Ho 2.97
Ru: 0.5245 0.7500 0.5000  4 Pu 2.74-2.75, 1 Ho 2.97
Ru: 0.9183 0.0446 0.7500  1 Pu 2.67, 6 Ho 2.89-2.93
Ru: 0.9183 0.4554 0.2500  1 Pu 2.67, 6 Ho 2.89-2.93

## Properties
Fermi-level density of states, states/eV/f.u.: 5.5
Formation energy, eV/atom: -0.301

(3)
# InCu2Br

InCu2Br after structural relaxation (PBE, the Alexandria database).

Lattice parameters (Å, degrees): 6.0837 9.0582 3.6035 90.00 124.49 90.00
Last column: nearest neighbours and their distance in Å.
Fractional positions:
In: 0.0000 0.0000 0.0000  4 Cu 2.73, 2 Br 3.04
In: 0.5000 0.5000 0.0000  4 Cu 2.73, 2 Br 3.04
Cu: 0.2500 0.2500 0.0000  2 In 2.73, 2 Br 2.73, 2 Cu 3.04
Cu: 0.2500 0.7500 0.0000  2 In 2.73, 2 Br 2.73, 2 Cu 3.04
Cu: 0.7500 0.2500 0.0000  2 In 2.73, 2 Br 2.73, 2 Cu 3.04
Cu: 0.7500 0.7500 0.0000  2 Br 2.73, 2 In 2.73, 2 Cu 3.04
Br: 0.0000 0.5000 0.0000  4 Cu 2.73, 2 In 3.04
Br: 0.5000 0.0000 0.0000  4 Cu 2.73, 2 In 3.04

## Properties
Uncorrected formation energy, meV per atom: 293
Fermi-level density of states, states/eV/f.u.: 1.0